1.
Compound: RbTh2F9
Source: the Open Quantum Materials Database
Functional: GGA-PBE
Structure: optimized geometry

* calculated total energy: -6.67 eV/atom
* volume: 181 Å³/f.u.

CIF file:
```
data_RbTh2F9
_chemical_formula_sum 'Rb4 Th8 F36'
_cell_length_a 8.8039
_cell_length_b 11.5841
_cell_length_c 7.0877
_cell_angle_alpha 90.00
_cell_angle_beta 90.00
_cell_angle_gamma 90.00
_space_group_name_H-M_alt 'P 1'
_space_group_IT_number 1
loop_
_space_group_symop_operation_xyz
'x,y,z'
loop_
_atom_site_label
_atom_site_type_symbol
_atom_site_fract_x
_atom_site_fract_y
_atom_site_fract_z
Rb1 Rb 0.0308 0.2500 0.1331
Rb2 Rb 0.4692 0.7500 0.6331
Rb3 Rb 0.5308 0.2500 0.3669
Rb4 Rb 0.9692 0.7500 0.8669
Th1 Th 0.1750 0.0503 0.6516
Th2 Th 0.1750 0.4497 0.6516
Th3 Th 0.3250 0.5503 0.1516
Th4 Th 0.3250 0.9497 0.1516
Th5 Th 0.6750 0.0503 0.8484
Th6 Th 0.6750 0.4497 0.8484
Th7 Th 0.8250 0.5503 0.3484
Th8 Th 0.8250 0.9497 0.3484
F1 F 0.0071 0.6017 0.5732
F2 F 0.0071 0.8983 0.5732
F3 F 0.0623 0.5793 0.1897
F4 F 0.0623 0.9207 0.1897
F5 F 0.1769 0.2500 0.6655
F6 F 0.2134 0.0978 0.9687
F7 F 0.2134 0.4022 0.9687
F8 F 0.2214 0.6092 0.8525
F9 F 0.2214 0.8908 0.8525
F10 F 0.2786 0.1092 0.3525
F11 F 0.2786 0.3908 0.3525
F12 F 0.2866 0.5978 0.4687
F13 F 0.2866 0.9022 0.4687
F14 F 0.3231 0.7500 0.1655
F15 F 0.4377 0.0793 0.6897
F16 F 0.4377 0.4207 0.6897
F17 F 0.4929 0.1017 0.0732
F18 F 0.4929 0.3983 0.0732
F19 F 0.5071 0.6017 0.9268
F20 F 0.5071 0.8983 0.9268
F21 F 0.5623 0.5793 0.3103
F22 F 0.5623 0.9207 0.3103
F23 F 0.6769 0.2500 0.8345
F24 F 0.7134 0.0978 0.5313
F25 F 0.7134 0.4022 0.5313
F26 F 0.7214 0.6092 0.6475
F27 F 0.7214 0.8908 0.6475
F28 F 0.7786 0.1092 0.1475
F29 F 0.7786 0.3908 0.1475
F30 F 0.7866 0.5978 0.0313
F31 F 0.7866 0.9022 0.0313
F32 F 0.8231 0.7500 0.3345
F33 F 0.9377 0.0793 0.8103
F34 F 0.9377 0.4207 0.8103
F35 F 0.9929 0.1017 0.4268
F36 F 0.9929 0.3983 0.4268
```

***

2.
Compound: H3W
Source: the Open Quantum Materials Database
Functional: GGA-PBE
Structure: optimized geometry

* relative energy among the computed polymorphs: 46.8 meV/atom
* volume: 25 Å³/f.u.

CIF file:
```
data_H3W
_chemical_formula_sum 'H6 W2'
_cell_length_a 3.2750
_cell_length_b 3.1075
_cell_length_c 5.0665
_cell_angle_alpha 90.00
_cell_angle_beta 105.21
_cell_angle_gamma 90.00
_space_group_name_H-M_alt 'P 1'
_space_group_IT_number 1
loop_
_space_group_symop_operation_xyz
'x,y,z'
loop_
_atom_site_label
_atom_site_type_symbol
_atom_site_fract_x
_atom_site_fract_y
_atom_site_fract_z
H1 H 0.0008 0.2500 0.1570
H2 H 0.0896 0.2500 0.6391
H3 H 0.4114 0.7500 0.6007
H4 H 0.5886 0.2500 0.3993
H5 H 0.9104 0.7500 0.3609
H6 H 0.9992 0.7500 0.8430
W1 W 0.3508 0.7500 0.1957
W2 W 0.6492 0.2500 0.8043
```

***

3.
Compound: DyAgGeTe3
Source: the Open Quantum Materials Database
Functional: GGA-PBE
Structure: optimized geometry

* calculated total energy: -4.11 eV/atom
* volume: 169 Å³/f.u.

CIF file:
```
data_DyAgGeTe3
_chemical_formula_sum 'Dy2 Ag2 Ge2 Te6'
_cell_length_a 7.5604
_cell_length_b 7.5604
_cell_length_c 11.1145
_cell_angle_alpha 90.00
_cell_angle_beta 90.00
_cell_angle_gamma 147.78
_space_group_name_H-M_alt 'P 1'
_space_group_IT_number 1
loop_
_space_group_symop_operation_xyz
'x,y,z'
loop_
_atom_site_label
_atom_site_type_symbol
_atom_site_fract_x
_atom_site_fract_y
_atom_site_fract_z
Dy1 Dy 0.0000 0.0000 0.0000
Dy2 Dy 0.0000 0.0000 0.5000
Ag1 Ag 0.4778 0.5222 0.7500
Ag2 Ag 0.5222 0.4778 0.2500
Ge1 Ge 0.2130 0.7870 0.2500
Ge2 Ge 0.7870 0.2130 0.7500
Te1 Te 0.1066 0.8934 0.7500
Te2 Te 0.3494 0.6506 0.5625
Te3 Te 0.3494 0.6506 0.9375
Te4 Te 0.6506 0.3494 0.0625
Te5 Te 0.6506 0.3494 0.4375
Te6 Te 0.8934 0.1066 0.2500
```

***

4.
Compound: LaNdAu
Source: the Open Quantum Materials Database
Functional: GGA-PBE
Structure: optimized geometry

* calculated total energy: -4.33 eV/atom
* volume: 88 Å³/f.u.

CIF file:
```
data_LaNdAu
_chemical_formula_sum 'La4 Nd4 Au4'
_cell_length_a 7.0606
_cell_length_b 7.0606
_cell_length_c 7.0606
_cell_angle_alpha 90.00
_cell_angle_beta 90.00
_cell_angle_gamma 90.00
_space_group_name_H-M_alt 'P 1'
_space_group_IT_number 1
loop_
_space_group_symop_operation_xyz
'x,y,z'
loop_
_atom_site_label
_atom_site_type_symbol
_atom_site_fract_x
_atom_site_fract_y
_atom_site_fract_z
La1 La 0.0000 0.0000 0.0000
La2 La 0.0000 0.5000 0.5000
La3 La 0.5000 0.0000 0.5000
La4 La 0.5000 0.5000 0.0000
Nd1 Nd 0.2500 0.2500 0.7500
Nd2 Nd 0.2500 0.7500 0.2500
Nd3 Nd 0.7500 0.2500 0.2500
Nd4 Nd 0.7500 0.7500 0.7500
Au1 Au 0.0000 0.0000 0.5000
Au2 Au 0.0000 0.5000 0.0000
Au3 Au 0.5000 0.0000 0.0000
Au4 Au 0.5000 0.5000 0.5000
```

***

5.
Compound: GdLuZn2Ge2
Source: the Open Quantum Materials Database
Functional: GGA-PBE
Structure: optimized geometry

* relative energy among the computed polymorphs: 0.0 meV/atom
* volume: 120 Å³/f.u.

CIF file:
```
data_GdLuZn2Ge2
_chemical_formula_sum 'Gd2 Lu2 Zn4 Ge4'
_cell_length_a 4.2260
_cell_length_b 4.2260
_cell_length_c 15.5585
_cell_angle_alpha 90.00
_cell_angle_beta 90.00
_cell_angle_gamma 120.00
_space_group_name_H-M_alt 'P 1'
_space_group_IT_number 1
loop_
_space_group_symop_operation_xyz
'x,y,z'
loop_
_atom_site_label
_atom_site_type_symbol
_atom_site_fract_x
_atom_site_fract_y
_atom_site_fract_z
Gd1 Gd 0.0000 0.0000 0.0000
Gd2 Gd 0.0000 0.0000 0.5000
Lu1 Lu 0.0000 0.0000 0.2500
Lu2 Lu 0.0000 0.0000 0.7500
Zn1 Zn 0.3333 0.6667 0.1535
Zn2 Zn 0.3333 0.6667 0.3465
Zn3 Zn 0.6667 0.3333 0.6535
Zn4 Zn 0.6667 0.3333 0.8465
Ge1 Ge 0.3333 0.6667 0.6161
Ge2 Ge 0.3333 0.6667 0.8839
Ge3 Ge 0.6667 0.3333 0.1161
Ge4 Ge 0.6667 0.3333 0.3839
```

***

6.
Compound: HoZnSnTe3
Source: the Open Quantum Materials Database
Functional: GGA-PBE
Structure: optimized geometry

* calculated total energy: -3.84 eV/atom
* volume: 177 Å³/f.u.

CIF file:
```
data_HoZnSnTe3
_chemical_formula_sum 'Ho2 Zn2 Sn2 Te6'
_cell_length_a 7.6025
_cell_length_b 7.6025
_cell_length_c 11.1872
_cell_angle_alpha 90.00
_cell_angle_beta 90.00
_cell_angle_gamma 146.87
_space_group_name_H-M_alt 'P 1'
_space_group_IT_number 1
loop_
_space_group_symop_operation_xyz
'x,y,z'
loop_
_atom_site_label
_atom_site_type_symbol
_atom_site_fract_x
_atom_site_fract_y
_atom_site_fract_z
Ho1 Ho 0.0000 0.0000 0.0000
Ho2 Ho 0.0000 0.0000 0.5000
Zn1 Zn 0.4744 0.5256 0.7500
Zn2 Zn 0.5256 0.4744 0.2500
Sn1 Sn 0.2086 0.7914 0.2500
Sn2 Sn 0.7914 0.2086 0.7500
Te1 Te 0.0924 0.9076 0.7500
Te2 Te 0.3554 0.6446 0.5559
Te3 Te 0.3554 0.6446 0.9441
Te4 Te 0.6446 0.3554 0.0559
Te5 Te 0.6446 0.3554 0.4441
Te6 Te 0.9076 0.0924 0.2500
```